Entry 1:
## CeSmSc2P4 (PBE)

Data for crystalline CeSmSc2P4 at its relaxed geometry.

POSCAR file:
```
CeSmSc2P4
1.0
-1.2861 1.3660 -3.4632
-6.3290 -1.6769 1.6889
-2.9830 5.2506 3.1787
Sm Sc P Ce
1 2 4 1
Direct
0.0000 0.5000 0.5000
0.5000 0.0000 0.5000
0.0000 0.0000 0.0000
0.5000 0.2304 0.7593
0.0000 0.7694 0.7453
0.0000 0.2306 0.2547
0.5000 0.7696 0.2407
0.5000 0.5000 0.0000
```

Values from the calculation:
V (Å³/f.u.): 171
DFT formation energy (eV/atom): -1.494
DFT total energy (eV for the cell shown): -56.907

Entry 2:
## CeSm2ScP4 (PBE)

Data for crystalline CeSm2ScP4 at its relaxed geometry.

POSCAR file:
```
CeSm2ScP4
1.0
4.0239 0.0000 0.0000
0.0000 6.9294 0.1185
0.0000 -2.4248 6.5295
P Sm Sc Ce
4 2 1 1
Direct
0.0000 0.7540 0.2397
0.5000 0.7616 0.7660
0.5000 0.2384 0.2340
0.0000 0.2460 0.7603
0.0000 0.5000 0.5000
0.5000 0.0000 0.5000
0.0000 0.0000 0.0000
0.5000 0.5000 0.0000
```

Values from the calculation:
V (Å³/f.u.): 183
DFT formation energy (eV/atom): -1.509
DFT total energy (eV for the cell shown): -55.415

Entry 3:
## Ce2Sm3ScP6 (PBE)

Data for crystalline Ce2Sm3ScP6 at its relaxed geometry.

POSCAR file:
```
Ce2Sm3ScP6
1.0
-3.2119 -0.0097 -2.4658
-1.7528 -7.5523 2.3128
-2.8264 4.9908 6.9867
P Sm Ce Sc
6 3 2 1
Direct
0.0003 0.2364 0.0005
0.6611 0.0831 0.3223
0.6680 0.5809 0.3361
0.3389 0.9169 0.6777
0.9997 0.7636 0.9995
0.3320 0.4191 0.6639
0.1668 0.8351 0.3336
0.5000 0.5000 0.0000
0.8332 0.1649 0.6664
0.1642 0.3293 0.3283
0.8358 0.6707 0.6717
0.5000 0.0000 0.0000
```

Values from the calculation:
V (Å³/f.u.): 281
DFT formation energy (eV/atom): -1.517
DFT total energy (eV for the cell shown): -83.022

Entry 4:
## Sr3Ce2ScP6 (PBE)

Data for crystalline Sr3Ce2ScP6 at its relaxed geometry.

POSCAR file:
```
Sr3Ce2ScP6
1.0
-2.4832 5.8812 3.2915
-4.3007 -3.7806 -4.3358
0.2457 -4.5590 5.7166
P Ce Sr Sc
6 2 3 1
Direct
0.9285 0.6032 0.7853
0.3968 0.0715 0.2147
0.7463 0.7463 0.2151
0.2537 0.2537 0.7849
0.6032 0.9285 0.7853
0.0715 0.3968 0.2147
0.6664 0.3336 0.0000
0.3336 0.6664 0.0000
0.5000 0.5000 0.5000
0.8328 0.1672 0.5000
0.1672 0.8328 0.5000
0.0000 0.0000 0.0000
```

Values from the calculation:
V (Å³/f.u.): 309
DFT formation energy (eV/atom): -1.204
DFT total energy (eV for the cell shown): -70.158

Entry 5:
## CeScTeP (PBE)

Data for crystalline CeScTeP at its relaxed geometry.

POSCAR file:
```
CeScTeP
1.0
-0.0171 1.7802 3.6008
2.7633 -2.7893 -0.8483
3.4536 4.8231 -4.6086
Sc Te P Ce
1 1 1 1
Direct
0.4985 0.1472 0.6610
0.9804 0.3882 0.3838
0.2923 0.5441 0.8517
0.1066 0.9513 0.0732
```

Values from the calculation:
V (Å³/f.u.): 100
E_form (uncorrected) (eV per atom): -1.36
DFT total energy (eV for the cell shown): -26.248

Entry 6:
## Ce2ThScP4 (PBE)

Data for crystalline Ce2ThScP4 at its relaxed geometry.

POSCAR file:
```
Ce2ThScP4
1.0
-1.3241 0.8079 -3.7390
2.2228 -6.2797 -2.1440
-5.1094 -4.6725 0.7998
P Ce Th Sc
4 2 1 1
Direct
0.0000 0.2539 0.2608
0.5000 0.2612 0.7355
0.0000 0.7461 0.7392
0.5000 0.7388 0.2645
0.5000 0.0000 0.5000
0.0000 0.0000 0.0000
0.5000 0.5000 0.0000
0.0000 0.5000 0.5000
```

Values from the calculation:
V (Å³/f.u.): 186
DFT formation energy (eV/atom): -1.485
DFT total energy (eV for the cell shown): -59.140

Question: What is the formula in the first record?
Answer: CeSmSc2P4

What did the first record say?
## CeSmSc2P4 (PBE)

Data for crystalline CeSmSc2P4 at its relaxed geometry.

POSCAR file:
```
CeSmSc2P4
1.0
-1.2861 1.3660 -3.4632
-6.3290 -1.6769 1.6889
-2.9830 5.2506 3.1787
Sm Sc P Ce
1 2 4 1
Direct
0.0000 0.5000 0.5000
0.5000 0.0000 0.5000
0.0000 0.0000 0.0000
0.5000 0.2304 0.7593
0.0000 0.7694 0.7453
0.0000 0.2306 0.2547
0.5000 0.7696 0.2407
0.5000 0.5000 0.0000
```

Values from the calculation:
V (Å³/f.u.): 171
DFT formation energy (eV/atom): -1.494
DFT total energy (eV for the cell shown): -56.907

Please write out number 4 again, unchanged.
## Sr3Ce2ScP6 (PBE)

Data for crystalline Sr3Ce2ScP6 at its relaxed geometry.

POSCAR file:
```
Sr3Ce2ScP6
1.0
-2.4832 5.8812 3.2915
-4.3007 -3.7806 -4.3358
0.2457 -4.5590 5.7166
P Ce Sr Sc
6 2 3 1
Direct
0.9285 0.6032 0.7853
0.3968 0.0715 0.2147
0.7463 0.7463 0.2151
0.2537 0.2537 0.7849
0.6032 0.9285 0.7853
0.0715 0.3968 0.2147
0.6664 0.3336 0.0000
0.3336 0.6664 0.0000
0.5000 0.5000 0.5000
0.8328 0.1672 0.5000
0.1672 0.8328 0.5000
0.0000 0.0000 0.0000
```

Values from the calculation:
V (Å³/f.u.): 309
DFT formation energy (eV/atom): -1.204
DFT total energy (eV for the cell shown): -70.158

What did the sixth record say?
## Ce2ThScP4 (PBE)

Data for crystalline Ce2ThScP4 at its relaxed geometry.

POSCAR file:
```
Ce2ThScP4
1.0
-1.3241 0.8079 -3.7390
2.2228 -6.2797 -2.1440
-5.1094 -4.6725 0.7998
P Ce Th Sc
4 2 1 1
Direct
0.0000 0.2539 0.2608
0.5000 0.2612 0.7355
0.0000 0.7461 0.7392
0.5000 0.7388 0.2645
0.5000 0.0000 0.5000
0.0000 0.0000 0.0000
0.5000 0.5000 0.0000
0.0000 0.5000 0.5000
```

Values from the calculation:
V (Å³/f.u.): 186
DFT formation energy (eV/atom): -1.485
DFT total energy (eV for the cell shown): -59.140